Record 1
Mg3Be5: relaxed, PBE.

a = 8.2506 Å, b = 8.2506 Å, c = 3.9050 Å
α = 90.00°, β = 90.00°, γ = 120.00°
Space group P6_3/mcm (No. 193)
Inequivalent atoms, fractional coordinates:
Mg (0.0000, 0.3678, 0.2500) (multiplicity 6)
Be (0.0000, 0.1487, 0.7500) (multiplicity 6)
Be (0.3333, 0.6667, 0.0000) (multiplicity 4)

Computed properties:
density of states at the Fermi level	3.41	states/eV/f.u.
magnetic moment	0.00	μB/atom
energy of formation from the pure elements	0.406	eV per atom
E_tot	-40.33	eV for the cell shown

***

Record 2
BaTa3Mo: relaxed, PBE.

a = 5.027 Å, b = 5.027 Å, c = 5.027 Å
α = 90.00°, β = 90.00°, γ = 90.00°
Space group Pm-3m (No. 221)
Inequivalent atoms, fractional coordinates:
Ba (0.000, 0.000, 0.000) (multiplicity 1)
Ta (0.000, 0.500, 0.500) (multiplicity 3)
Mo (0.500, 0.500, 0.500) (multiplicity 1)

Computed properties:
density of states at the Fermi level	7.50	states/eV/f.u.
magnetic moment	0.00	μB/atom
energy of formation from the pure elements	1.223	eV per atom
E_tot	-42.20	eV for the cell shown

***

Record 3
RbNaInAu2: relaxed, PBE.

a = 4.966 Å, b = 4.966 Å, c = 11.587 Å
α = 90.00°, β = 90.00°, γ = 90.00°
Space group I-4m2 (No. 119)
Inequivalent atoms, fractional coordinates:
Rb (0.000, 0.000, 0.000) (multiplicity 2)
Na (0.000, 0.500, 0.750) (multiplicity 2)
In (0.000, 0.500, 0.250) (multiplicity 2)
Au (0.000, 0.000, 0.380) (multiplicity 4)

Computed properties:
density of states at the Fermi level	2.57	states/eV/f.u.
magnetic moment	0.00	μB/atom
energy of formation from the pure elements	-0.281	eV per atom
E_tot	-25.97	eV for the cell shown

***

Record 4
La2HfB2: relaxed, PBE.

a = 7.987 Å, b = 7.987 Å, c = 3.132 Å
α = 90.00°, β = 90.00°, γ = 90.00°
Space group P4/mbm (No. 127)
Inequivalent atoms, fractional coordinates:
La (0.128, 0.372, 0.000) (multiplicity 4)
Hf (0.000, 0.000, 0.000) (multiplicity 2)
B (0.167, 0.667, 0.500) (multiplicity 4)

Computed properties:
density of states at the Fermi level	3.55	states/eV/f.u.
magnetic moment	0.00	μB/atom
energy of formation from the pure elements	0.764	eV per atom
E_tot	-58.69	eV for the cell shown

***

The highest E_tot belongs to which entry? RbNaInAu2